(1)
Entry from Alexandria via LeMat-Bulk: a relaxed structure of ErMnNi (PBE).

```
data_ErMnNi
_cell_length_a 5.4975
_cell_length_b 8.5453
_cell_length_c 9.0242
_cell_angle_alpha 90.00
_cell_angle_beta 90.00
_cell_angle_gamma 90.00
_space_group_name_H-M_alt 'F m m m'
_space_group_IT_number 69
_space_group_name_Hall '-F 2 2'
loop_
_atom_site_label
_atom_site_fract_x
_atom_site_fract_y
_atom_site_fract_z
Er1 0.0000 0.1761 0.0000
Mn1 0.0000 0.0000 0.3286
Ni1 0.2500 0.2500 0.2500
```

- calculated volume (Å³ per cell) = 423.94
- ΔH_f (0 K) (eV per atom) = 0.04


(2)
Entry from Alexandria via LeMat-Bulk: a relaxed structure of ErMnNi10 (PBE).

```
data_ErMnNi10
_cell_length_a 3.9860
_cell_length_b 4.7431
_cell_length_c 8.2212
_cell_angle_alpha 90.00
_cell_angle_beta 90.00
_cell_angle_gamma 90.00
_space_group_name_H-M_alt 'P m m m'
_space_group_IT_number 47
_space_group_name_Hall '-P 2 2'
loop_
_atom_site_label
_atom_site_fract_x
_atom_site_fract_y
_atom_site_fract_z
Er1 0.0000 0.0000 0.0000
Mn1 0.0000 0.5000 0.5000
Ni1 0.0000 0.0000 0.3424
Ni2 0.0000 0.5000 0.1806
Ni3 0.5000 0.0000 0.5000
Ni4 0.5000 0.2512 0.2542
Ni5 0.5000 0.5000 0.0000
```

- calculated volume (Å³ per cell) = 155.43
- ΔH_f (0 K) (eV per atom) = -0.10


(3)
Entry from Alexandria via LeMat-Bulk: a relaxed structure of ErMnNi2 (PBE).

```
data_ErMnNi2
_cell_length_a 4.0949
_cell_length_b 4.0949
_cell_length_c 13.4428
_cell_angle_alpha 90.00
_cell_angle_beta 90.00
_cell_angle_gamma 120.00
_space_group_name_H-M_alt 'R -3 m'
_space_group_IT_number 166
_space_group_name_Hall '-R 3 2"'
loop_
_atom_site_label
_atom_site_fract_x
_atom_site_fract_y
_atom_site_fract_z
Er1 0.0000 0.0000 0.0000
Mn1 0.0000 0.0000 0.5000
Ni1 0.0000 0.0000 0.2037
```

- calculated volume (Å³ per cell) = 195.21
- ΔH_f (0 K) (eV per atom) = -0.25
- polymorph energy (0 for the lowest one) (meV/atom) = 0


(4)
Entry from Alexandria via LeMat-Bulk: a relaxed structure of ErMn2Ni9 (PBE).

```
data_ErMn2Ni9
_cell_length_a 4.7904
_cell_length_b 4.7904
_cell_length_c 23.3035
_cell_angle_alpha 90.00
_cell_angle_beta 90.00
_cell_angle_gamma 120.00
_space_group_name_H-M_alt 'R -3 m'
_space_group_IT_number 166
_space_group_name_Hall '-R 3 2"'
loop_
_atom_site_label
_atom_site_fract_x
_atom_site_fract_y
_atom_site_fract_z
Er1 0.0000 0.0000 0.0000
Mn1 0.0000 0.0000 0.1448
Ni1 0.0000 0.0000 0.3340
Ni2 0.0000 0.0000 0.5000
Ni3 0.0048 0.5024 0.9140
```

- calculated volume (Å³ per cell) = 463.13
- ΔH_f (0 K) (eV per atom) = -0.17